## AlZn2Cr2 (GGA-PBEsol)

Data for a geometry-optimized AlZn2Cr2 structure.

```
AlZn2Cr2
1.0
3.462 0.000 0.000
0.000 3.462 0.000
-1.731 -1.731 5.909
Zn Al Cr
2 1 2
Direct
0.750 0.250 0.500
0.250 0.750 0.500
0.000 0.000 0.000
0.417 0.417 0.833
0.583 0.583 0.167
```

Results
N(E_F)	0.854	states/eV per atom
space-group type	I4/mmm
size of the total moment	0.37	μB/f.u.
calculated volume	14.169	Å³/atom
ΔH_f (0 K)	0.456	eV/atom



## Al4ZnCr (GGA-PBEsol)

Data for a geometry-optimized Al4ZnCr structure.

```
Al4ZnCr
1.0
5.088 0.000 0.000
2.544 4.406 0.000
2.544 1.469 4.154
Al Cr Zn
4 1 1
Direct
0.376 0.376 0.376
0.376 0.376 0.873
0.873 0.376 0.376
0.376 0.873 0.376
0.750 0.750 0.750
0.000 0.000 0.000
```

Results
N(E_F)	0.568	states/eV per atom
space-group type	F-43m
size of the total moment	1.84	μB/f.u.
calculated volume	15.519	Å³/atom
ΔH_f (0 K)	0.285	eV/atom



## AlZnCr (GGA-PBEsol)

Data for a geometry-optimized AlZnCr structure.

```
AlZnCr
1.0
4.145 0.000 0.000
2.073 3.590 0.000
2.073 1.197 3.385
Cr Zn Al
1 1 1
Direct
0.250 0.250 0.250
0.000 0.000 0.000
0.500 0.500 0.500
```

Results
N(E_F)	0.612	states/eV per atom
space-group type	F-43m
size of the total moment	2.77	μB/f.u.
calculated volume	16.788	Å³/atom
ΔH_f (0 K)	0.550	eV/atom



## AlZnCr (GGA-PBEsol)

Data for a geometry-optimized AlZnCr structure.

```
AlZnCr
1.0
4.134 0.000 0.000
2.067 3.580 0.000
2.067 1.193 3.375
Al Cr Zn
1 1 1
Direct
0.250 0.250 0.250
0.000 0.000 0.000
0.500 0.500 0.500
```

Results
N(E_F)	0.461	states/eV per atom
space-group type	F-43m
size of the total moment	3.02	μB/f.u.
calculated volume	16.653	Å³/atom
ΔH_f (0 K)	0.515	eV/atom



> The highest size of the total moment belongs to which entry?

number 4



> The highest N(E_F) belongs to which entry?

AlZn2Cr2



> Number 2 is which compound?

Al4ZnCr



> N(E_F) of number 3 (AlZnCr)?

0.612 states/eV per atom